# Ce2NdErS4

Crystalline Ce2NdErS4 at its relaxed geometry (PBE, Alexandria).

Unit cell a=6.9285 b=3.9816 c=6.9480 alpha=90.00 beta=109.24 gamma=90.00
Closest atoms and distances in Å follow each position.
Space group P2/m (No. 10)
Unique sites:
Ce1 0.0000 0.0000 0.0000 x1  6 S 2.89
Ce2 0.5000 0.5000 0.0000 x1  6 S 2.82
Nd1 0.0000 0.5000 0.5000 x1  6 S 2.84
Er1 0.5000 0.0000 0.5000 x1  6 S 2.76-2.77
S1 0.2579 0.0000 0.7465 x2  1 Er 2.76, 3 Ce 2.82-2.89, 2 Nd 2.84
S2 0.2622 0.5000 0.2601 x2  2 Er 2.77, 3 Ce 2.82-2.89, 1 Nd 2.84

The calculation puts the magnetic moment at 1.60 μB/f.u. The formation energy without anion corrections comes out at -16.143 eV per formula unit.

# CeNd3Er3S8

Crystalline CeNd3Er3S8 at its relaxed geometry (PBE, Alexandria).

Unit cell a=7.9128 b=7.9128 c=19.5641 alpha=90.00 beta=90.00 gamma=120.00
Closest atoms and distances in Å follow each position.
Space group R-3m (No. 166, hexagonal axes)
Unique sites:
Ce1 0.0000 0.0000 0.0000 x3  6 S 2.84
Nd1 0.0000 0.5000 0.5000 x9  6 S 2.88
Er1 0.0000 0.5000 0.0000 x9  6 S 2.74
S1 0.0000 0.0000 0.2559 x6  3 Er 2.74, 3 Nd 2.88
S2 0.0128 0.5064 0.2532 x18  2 Er 2.74, 1 Ce 2.84, 2 Nd 2.88

The calculation puts the magnetic moment at 1.56 μB/f.u. The formation energy without anion corrections comes out at -30.196 eV per formula unit.

# Ce3Nd2ErSb6

Crystalline Ce3Nd2ErSb6 at its relaxed geometry (PBE, Alexandria).

Unit cell a=7.7682 b=13.4567 c=7.7692 alpha=90.00 beta=109.50 gamma=90.00
Closest atoms and distances in Å follow each position.
Space group C2/m (No. 12)
Unique sites:
Ce1 0.0000 0.0000 0.0000 x2  6 Sb 3.16-3.21
Ce2 0.0000 0.3309 0.0000 x4  6 Sb 3.16-3.20
Nd1 0.0000 0.1658 0.5000 x4  6 Sb 3.19
Er1 0.0000 0.5000 0.5000 x2  6 Sb 3.12-3.13
Sb1 0.2430 0.5000 0.2489 x4  1 Er 3.13, 3 Ce 3.17-3.21, 2 Nd 3.19
Sb2 0.2460 0.3363 0.7482 x8  1 Er 3.12, 3 Ce 3.16-3.20, 2 Nd 3.19

The calculation puts the magnetic moment at 2.36 μB/f.u. The formation energy without anion corrections comes out at -13.192 eV per formula unit.

# CeNd2ErSb4

Crystalline CeNd2ErSb4 at its relaxed geometry (PBE, Alexandria).

Unit cell a=7.7415 b=4.4768 c=7.7570 alpha=90.00 beta=109.43 gamma=90.00
Closest atoms and distances in Å follow each position.
Space group P2/m (No. 10)
Unique sites:
Ce1 0.0000 0.0000 0.0000 x1  6 Sb 3.14-3.15
Nd1 0.0000 0.5000 0.5000 x1  6 Sb 3.21
Nd2 0.5000 0.0000 0.5000 x1  6 Sb 3.18
Er1 0.5000 0.5000 0.0000 x1  6 Sb 3.11-3.12
Sb1 0.2514 0.5000 0.2438 x2  1 Er 3.11, 2 Ce 3.15, 3 Nd 3.18-3.21
Sb2 0.2561 0.0000 0.7591 x2  2 Er 3.12, 1 Ce 3.14, 3 Nd 3.18-3.21

The calculation puts the magnetic moment at 0.68 μB/f.u. The formation energy without anion corrections comes out at -9.012 eV per formula unit.

# Ce2NdEr3Se6

Crystalline Ce2NdEr3Se6 at its relaxed geometry (PBE, Alexandria).

Unit cell a=7.0660 b=12.2548 c=7.2697 alpha=90.00 beta=108.94 gamma=90.00
Closest atoms and distances in Å follow each position.
Space group C2/m (No. 12)
Unique sites:
Ce1 0.0000 0.1666 0.0000 x4  6 Se 2.97-2.98
Nd1 0.0000 0.5000 0.0000 x2  6 Se 2.99-3.00
Er1 0.0000 0.0000 0.5000 x2  6 Se 2.85-2.86
Er2 0.0000 0.3363 0.5000 x4  6 Se 2.84-2.86
Se1 0.2433 0.1677 0.7330 x8  3 Er 2.86, 2 Ce 2.98, 1 Nd 3.00
Se2 0.2473 0.5000 0.7355 x4  3 Er 2.84-2.85, 2 Ce 2.97, 1 Nd 2.99

The calculation puts the magnetic moment at 1.98 μB/f.u. The formation energy without anion corrections comes out at -21.311 eV per formula unit.

# Ce3NdEr3Se8

Crystalline Ce3NdEr3Se8 at its relaxed geometry (PBE, Alexandria).

Unit cell a=8.2033 b=8.2033 c=20.3698 alpha=90.00 beta=90.00 gamma=120.00
Closest atoms and distances in Å follow each position.
Space group R-3m (No. 166, hexagonal axes)
Unique sites:
Ce1 0.0000 0.5000 0.0000 x9  6 Se 2.97
Nd1 0.0000 0.0000 0.5000 x3  6 Se 2.99
Er1 0.0000 0.5000 0.5000 x9  6 Se 2.86
Se1 0.0000 0.0000 0.2451 x6  3 Er 2.86, 3 Ce 2.97
Se2 0.0159 0.5080 0.7511 x18  2 Er 2.86, 2 Ce 2.97, 1 Nd 2.99

The calculation puts the magnetic moment at 3.74 μB/f.u. The formation energy without anion corrections comes out at -27.350 eV per formula unit.

# CeNd2ErSe5

Crystalline CeNd2ErSe5 at its relaxed geometry (PBE, Alexandria).

Unit cell a=5.0644 b=5.0644 c=10.9355 alpha=90.00 beta=90.00 gamma=90.00
Closest atoms and distances in Å follow each position.
Space group P4/mmm (No. 123)
Unique sites:
Ce1 0.0000 0.0000 0.0000 x1  2 Se 2.74
Nd1 0.5000 0.5000 0.3018 x2  9 Se 3.30-3.62
Er1 0.0000 0.0000 0.5000 x1  6 Se 2.53-2.72
Se1 0.0000 0.0000 0.2509 x2  1 Er 2.72, 1 Ce 2.74
Se2 0.0000 0.5000 0.5000 x2  2 Er 2.53
Se3 0.5000 0.5000 0.0000 x1  2 Nd 3.30, 4 Ce 3.58

The calculation puts the magnetic moment at 1.73 μB/f.u. The formation energy without anion corrections comes out at -11.690 eV per formula unit.

# Ce3NdEr2Se6

Crystalline Ce3NdEr2Se6 at its relaxed geometry (PBE, Alexandria).

Unit cell a=7.1607 b=12.4113 c=7.2496 alpha=90.00 beta=109.26 gamma=90.00
Closest atoms and distances in Å follow each position.
Space group C2/m (No. 12)
Unique sites:
Ce1 0.0000 0.0000 0.0000 x2  6 Se 2.93-3.00
Ce2 0.0000 0.3384 0.0000 x4  6 Se 2.95-3.00
Nd1 0.0000 0.5000 0.5000 x2  6 Se 2.95-2.97
Er1 0.0000 0.1674 0.5000 x4  6 Se 2.86-2.87
Se1 0.2347 0.0000 0.7364 x4  2 Er 2.86, 3 Ce 2.93-2.98, 1 Nd 2.95
Se2 0.2474 0.1718 0.2583 x8  2 Er 2.87, 3 Ce 2.95-3.00, 1 Nd 2.97

The calculation puts the magnetic moment at 3.01 μB/f.u. The formation energy without anion corrections comes out at -21.494 eV per formula unit.

# CeNdEr2Se4

Crystalline CeNdEr2Se4 at its relaxed geometry (PBE, Alexandria).

Unit cell a=7.0745 b=4.0683 c=7.2956 alpha=90.00 beta=108.72 gamma=90.00
Closest atoms and distances in Å follow each position.
Space group P2/m (No. 10)
Unique sites:
Ce1 0.0000 0.0000 0.0000 x1  6 Se 2.98-2.99
Nd1 0.5000 0.5000 0.0000 x1  6 Se 2.99
Er1 0.0000 0.5000 0.5000 x1  6 Se 2.85
Er2 0.5000 0.0000 0.5000 x1  6 Se 2.86
Se1 0.2431 0.0000 0.7329 x2  3 Er 2.85-2.86, 1 Ce 2.98, 2 Nd 2.99
Se2 0.2547 0.5000 0.2665 x2  3 Er 2.85-2.86, 2 Ce 2.99, 1 Nd 2.99

The calculation puts the magnetic moment at 1.05 μB/f.u. The formation energy without anion corrections comes out at -14.198 eV per formula unit.

# CeNdSm6Er2

Crystalline CeNdSm6Er2 at its relaxed geometry (PBE, Alexandria).

Unit cell a=11.4051 b=6.8506 c=8.9525 alpha=90.00 beta=104.23 gamma=90.00
Closest atoms and distances in Å follow each position.
Space group C2/m (No. 12)
Unique sites:
Ce1 0.0000 0.0000 0.0000 x2  6 Sm 3.42-3.66, 4 Er 3.77
Nd1 0.0000 0.5000 0.5000 x2  4 Sm 3.34, 2 Er 3.43
Sm1 0.1305 0.0000 0.4166 x4  7 Sm 3.64-3.93, 1 Ce 3.66, 2 Nd 3.88, 2 Er 4.08
Sm2 0.1687 0.2618 0.8030 x8  2 Er 3.22-3.46, 3 Sm 3.26-3.59, 1 Nd 3.34, 1 Ce 3.42
Er1 0.0911 0.5000 0.1621 x4  1 Er 3.13, 4 Sm 3.22-3.46, 1 Nd 3.43

The calculation puts the energy of formation at 0.2452 eV/atom. The calculation puts the magnetic moment at 1.70 μB/f.u.

> What is the magnetic moment in the ninth record?

1.05 μB/f.u.